# 1
Density functional theory data (GGA-PBE) for a geometry-optimized Tl2AsOs2 structure. Values from VASP.

Cell and atoms, written as Quantum ESPRESSO input:
```
&SYSTEM
  ibrav = 0, nat = 10, ntyp = 3
/
ATOMIC_SPECIES
Tl 204.38 Tl.upf
As 74.92 As.upf
Os 190.23 Os.upf
ATOMIC_POSITIONS crystal
Tl 0.0000 0.0000 0.1073
Tl 0.0000 0.0000 0.8927
Tl 0.5000 0.5000 0.3927
Tl 0.5000 0.5000 0.6073
As 0.0000 0.0000 0.5000
As 0.5000 0.5000 0.0000
Os 0.0000 0.5000 0.2500
Os 0.0000 0.5000 0.7500
Os 0.5000 0.0000 0.2500
Os 0.5000 0.0000 0.7500
CELL_PARAMETERS angstrom
3.5504 0.0000 0.0000
0.0000 3.5504 0.0000
0.0000 0.0000 17.8564
```

Results
D(E_F) in states/eV per cell: 9.820
Space group: I4/mmm (139)
Energy in eV/cell: -54.7
Energy of formation in eV per atom: 0.90


# 2
Density functional theory data (GGA-PBE) for a geometry-optimized Sr2CaAsN structure. Values from VASP.

Cell and atoms, written as Quantum ESPRESSO input:
```
&SYSTEM
  ibrav = 0, nat = 10, ntyp = 4
/
ATOMIC_SPECIES
Sr 87.62 Sr.upf
Ca 40.08 Ca.upf
As 74.92 As.upf
N 14.01 N.upf
ATOMIC_POSITIONS crystal
Sr 0.1489 0.8511 0.5023
Sr 0.1489 0.8511 0.9977
Sr 0.8511 0.1489 0.0023
Sr 0.8511 0.1489 0.4977
Ca 0.4855 0.5145 0.7500
Ca 0.5145 0.4855 0.2500
As 0.2997 0.7003 0.7500
As 0.7003 0.2997 0.2500
N 0.0000 0.0000 0.0000
N 0.0000 0.0000 0.5000
CELL_PARAMETERS angstrom
2.1119 -8.3620 0.0000
2.1119 8.3620 0.0000
0.0000 0.0000 7.8853
```

Results
D(E_F) in states/eV per cell: 1.348
Space group: Cmcm (63)
Energy in eV/cell: -43.5
ΔE_f (raw) in meV per atom: -685


# 3
Density functional theory data (GGA-PBE) for a geometry-optimized Cs2PuTiCl6 structure. Values from VASP.

Cell and atoms, written as Quantum ESPRESSO input:
```
&SYSTEM
  ibrav = 0, nat = 10, ntyp = 4
/
ATOMIC_SPECIES
Cs 132.91 Cs.upf
Pu 244.00 Pu.upf
Ti 47.87 Ti.upf
Cl 35.45 Cl.upf
ATOMIC_POSITIONS crystal
Cs 0.2500 0.2500 0.2500
Cs 0.7500 0.7500 0.7500
Pu 0.0000 0.0000 0.0000
Ti 0.5000 0.5000 0.5000
Cl 0.2613 0.2613 0.7387
Cl 0.2613 0.7387 0.2613
Cl 0.2613 0.7387 0.7387
Cl 0.7387 0.2613 0.2613
Cl 0.7387 0.2613 0.7387
Cl 0.7387 0.7387 0.2613
CELL_PARAMETERS angstrom
0.0000 5.3478 5.3478
5.3478 0.0000 5.3478
5.3478 5.3478 0.0000
```

Results
D(E_F) in states/eV per cell: 18.791
Space group: Fm-3m (225)
Energy in eV/cell: -52.6
ΔE_f (raw) in meV per atom: -1756